Record 1
Material: AcP2PdPt8
Method: DFT, PBE
State: optimized geometry Values from VASP.

- energy of formation (kJ per mole of atoms) = -47
- ρ (g/cm³) = 14.764
- calculated total energy (eV/atom) = -6.187
- DOS(E_F) (states/eV/atom) = 0.539
- M_tot (μB per formula unit) = 0.00
- SG = C2/m

```
&SYSTEM
  ibrav = 0, nat = 12, ntyp = 4
/
ATOMIC_SPECIES
Ac 227.00 Ac.upf
P 30.97 P.upf
Pd 106.42 Pd.upf
Pt 195.08 Pt.upf
ATOMIC_POSITIONS crystal
Ac 0.000 0.000 0.500
P 0.498 0.498 0.268
P 0.502 0.502 0.732
Pd 0.000 0.000 0.000
Pt 0.945 0.434 0.764
Pt 0.642 0.642 0.043
Pt 0.654 0.654 0.476
Pt 0.346 0.346 0.524
Pt 0.358 0.358 0.957
Pt 0.434 0.945 0.764
Pt 0.566 0.055 0.236
Pt 0.055 0.566 0.236
CELL_PARAMETERS angstrom
5.412 -0.041 0.012
2.460 4.820 0.012
0.574 0.348 8.402
```

---

Record 2
Material: Ac3P2Pd9Pt
Method: DFT, PBE
State: optimized geometry Values from VASP.

- energy of formation (kJ per mole of atoms) = -70
- ρ (g/cm³) = 9.847
- calculated total energy (eV/atom) = -5.789
- DOS(E_F) (states/eV/atom) = 0.379
- M_tot (μB per formula unit) = 0.00
- SG = P-3m1

```
&SYSTEM
  ibrav = 0, nat = 15, ntyp = 4
/
ATOMIC_SPECIES
Ac 227.00 Ac.upf
P 30.97 P.upf
Pd 106.42 Pd.upf
Pt 195.08 Pt.upf
ATOMIC_POSITIONS crystal
Ac 0.333 0.667 0.598
Ac 0.000 0.000 0.000
Ac 0.667 0.333 0.402
P 0.333 0.667 0.155
P 0.667 0.333 0.845
Pd 0.839 0.161 0.704
Pd 0.839 0.678 0.704
Pd 0.322 0.161 0.704
Pd 0.678 0.839 0.296
Pd 0.161 0.322 0.296
Pd 0.161 0.839 0.296
Pd 0.500 0.000 0.000
Pd 0.000 0.500 0.000
Pd 0.500 0.500 0.000
Pt 0.000 0.000 0.500
CELL_PARAMETERS angstrom
-4.824 -3.421 -0.047
3.673 -0.004 -4.635
5.525 -7.851 4.385
```

---

Record 3
Material: Ac2PPdPt6
Method: DFT, PBE
State: optimized geometry Values from VASP.

- energy of formation (kJ per mole of atoms) = -83
- ρ (g/cm³) = 13.829
- calculated total energy (eV/atom) = -6.370
- DOS(E_F) (states/eV/atom) = 0.370
- M_tot (μB per formula unit) = 0.00
- SG = C2/m

```
&SYSTEM
  ibrav = 0, nat = 10, ntyp = 4
/
ATOMIC_SPECIES
Ac 227.00 Ac.upf
P 30.97 P.upf
Pd 106.42 Pd.upf
Pt 195.08 Pt.upf
ATOMIC_POSITIONS crystal
Ac 0.723 0.276 0.539
Ac 0.277 0.724 0.461
P 0.500 0.500 0.000
Pd 0.000 0.000 0.000
Pt 0.252 0.235 0.480
Pt 0.765 0.748 0.967
Pt 0.251 0.748 0.866
Pt 0.749 0.252 0.134
Pt 0.235 0.252 0.033
Pt 0.748 0.765 0.520
CELL_PARAMETERS angstrom
-1.592 3.099 -5.458
-3.451 -5.471 -2.925
-7.486 -0.477 -3.767
```